Crystalline Ba2InPt at its relaxed geometry. Source: Alexandria, functional PBE-GGA.

Lattice parameters (Å, degrees): 7.772 7.772 7.772 90.00 90.00 90.00
Space group F-43m (No. 216)
Asymmetric unit:
Ba1 0.000 0.000 0.000 [4 per cell]
Ba2 0.250 0.250 0.250 [4 per cell]
In1 0.000 0.000 0.500 [4 per cell]
Pt1 0.250 0.250 0.750 [4 per cell]

Values from the calculation:
energy = -3.443 eV/atom
ΔH_f (0 K) = -287 meV/atom
spin magnetization = 0.0 μB/f.u.

Crystalline BaInPt2 at its relaxed geometry. Source: Alexandria, functional PBE-GGA.

Lattice parameters (Å, degrees): 3.639 3.639 7.294 90.00 90.00 90.00
Space group P4mm (No. 99)
Asymmetric unit:
Ba1 0.000 0.000 0.000 [1 per cell]
In1 0.500 0.500 0.364 [1 per cell]
Pt1 0.000 0.000 0.542 [1 per cell]
Pt2 0.500 0.500 0.730 [1 per cell]

Values from the calculation:
energy = -4.459 eV/atom
ΔH_f (0 K) = -274 meV/atom
spin magnetization = 0.0 μB/f.u.